YTlAgRh: optimized geometry, PBE-GGA.

```
YTlAgRh
1.0
4.8752 0.0000 0.0000
2.4376 4.2220 0.0000
2.4376 1.4073 3.9806
Ag Rh Y Tl
1 1 1 1
Direct
0.7500 0.7500 0.7500
0.2500 0.2500 0.2500
0.5000 0.5000 0.5000
0.0000 0.0000 0.0000
```

Calculated values
SG: F-43m
ρ, g/cm³: 10.216
V, A^3/atom: 20.5
Calculated formation energy, meV/atom: -298